(1)
Computed, not measured: a relaxed Dy2Ga4Ni3Ru crystal at the PBE-GGA level of DFT.

a = 4.1434 Å, b = 4.1434 Å, c = 9.7799 Å
α = 90.00°, β = 90.00°, γ = 90.00°
With the nearest neighbours (Å) after each atom.
Fractional coordinates of all 10 atoms:
Dy  0.0000  0.5000  0.2431  8 Ga 3.12-3.26, 6 Ni 3.15-3.19, 2 Ru 3.15
Dy  0.5000  0.0000  0.7569  8 Ga 3.12-3.26, 6 Ni 3.15-3.19, 2 Ru 3.15
Ga  0.0000  0.0000  0.5000  4 Ni 2.42
Ga  0.0000  0.5000  0.8668  3 Ni 2.35-2.45, 2 Ru 2.45
Ga  0.5000  0.0000  0.1332  3 Ni 2.35-2.45, 2 Ru 2.45
Ga  0.5000  0.5000  0.5000  4 Ni 2.42
Ni  0.0000  0.0000  0.0000  4 Ga 2.45
Ni  0.0000  0.5000  0.6270  5 Ga 2.35-2.42
Ni  0.5000  0.0000  0.3730  5 Ga 2.35-2.42
Ru  0.5000  0.5000  0.0000  4 Ga 2.45

Values from the calculation:
Total magnetic moment (Bohr magnetons per cell): 0.000
V (A^3/atom): 16.79
E (eV/atom): -5.350
ΔH_f (0 K) (eV per atom): -0.557
Symmetry: No. 115



(2)
Computed, not measured: a relaxed Dy3GaNiS7 crystal at the PBE-GGA level of DFT.

a = 9.5519 Å, b = 9.5519 Å, c = 6.2042 Å
α = 90.00°, β = 90.00°, γ = 120.00°
With the nearest neighbours (Å) after each atom.
Fractional coordinates of all 24 atoms:
Dy  0.1574  0.7819  0.0000  7 S 2.75-3.01
Dy  0.2181  0.3755  0.0000  7 S 2.75-3.01
Dy  0.3755  0.1574  0.5000  7 S 2.75-3.01
Dy  0.6245  0.8426  0.0000  7 S 2.75-3.01
Dy  0.7819  0.6245  0.5000  7 S 2.75-3.01
Dy  0.8426  0.2181  0.5000  7 S 2.75-3.01
Ga  0.3333  0.6667  0.5727  4 S 2.26-2.28
Ga  0.6667  0.3333  0.0727  4 S 2.26-2.28
Ni  0.0000  0.0000  0.1673  6 S 2.41-2.52
Ni  0.0000  0.0000  0.6673  6 S 2.41-2.52
S  0.0858  0.5206  0.7311  1 Ga 2.28
S  0.1010  0.8704  0.4038  2 Ni 2.41-2.52
S  0.1296  0.2306  0.4038  2 Ni 2.41-2.52
S  0.2306  0.1010  0.9038  2 Ni 2.41-2.52
S  0.3333  0.6667  0.2077  1 Ga 2.26
S  0.4348  0.9142  0.7311  1 Ga 2.28
S  0.4794  0.5652  0.7311  1 Ga 2.28
S  0.5206  0.4348  0.2311  1 Ga 2.28
S  0.5652  0.0858  0.2311  1 Ga 2.28
S  0.6667  0.3333  0.7077  1 Ga 2.26
S  0.7694  0.8990  0.4038  2 Ni 2.41-2.52
S  0.8704  0.7694  0.9038  2 Ni 2.41-2.52
S  0.8990  0.1296  0.9038  2 Ni 2.41-2.52
S  0.9142  0.4794  0.2311  1 Ga 2.28

Values from the calculation:
Total magnetic moment (Bohr magnetons per cell): 4.065
V (A^3/atom): 20.43
E (eV/atom): -5.754
Symmetry: No. 173
Raw formation energy (eV/atom): -1.46



(3)
Computed, not measured: a relaxed Dy3GaNiSe7 crystal at the PBE-GGA level of DFT.

a = 9.9873 Å, b = 9.9873 Å, c = 6.5258 Å
α = 90.00°, β = 90.00°, γ = 120.00°
With the nearest neighbours (Å) after each atom.
Fractional coordinates of all 24 atoms:
Dy  0.1598  0.3747  0.0000  7 Se 2.87-3.17
Dy  0.2150  0.8402  0.0000  7 Se 2.87-3.17
Dy  0.3747  0.2150  0.5000  7 Se 2.87-3.17
Dy  0.6253  0.7850  0.0000  7 Se 2.87-3.17
Dy  0.7850  0.1598  0.5000  7 Se 2.87-3.17
Dy  0.8402  0.6253  0.5000  7 Se 2.87-3.17
Ga  0.3333  0.6667  0.5760  4 Se 2.41
Ga  0.6667  0.3333  0.0760  4 Se 2.41
Ni  0.0000  0.0000  0.1680  6 Se 2.54-2.66
Ni  0.0000  0.0000  0.6680  6 Se 2.54-2.66
Se  0.0819  0.5619  0.7334  1 Ga 2.41
Se  0.1036  0.2335  0.4036  2 Ni 2.54-2.66
Se  0.1300  0.8964  0.4036  2 Ni 2.54-2.66
Se  0.2335  0.1300  0.9036  2 Ni 2.54-2.66
Se  0.3333  0.6667  0.2063  1 Ga 2.41
Se  0.4381  0.5200  0.7334  1 Ga 2.41
Se  0.4800  0.9181  0.7334  1 Ga 2.41
Se  0.5200  0.0819  0.2334  1 Ga 2.41
Se  0.5619  0.4800  0.2334  1 Ga 2.41
Se  0.6667  0.3333  0.7063  1 Ga 2.41
Se  0.7665  0.8700  0.4036  2 Ni 2.54-2.66
Se  0.8700  0.1036  0.9036  2 Ni 2.54-2.66
Se  0.8964  0.7665  0.9036  2 Ni 2.54-2.66
Se  0.9181  0.4381  0.2334  1 Ga 2.41

Values from the calculation:
Total magnetic moment (Bohr magnetons per cell): 4.058
V (A^3/atom): 23.49
E (eV/atom): -5.204
Symmetry: No. 173
Raw formation energy (eV/atom): -1.29



(4)
Computed, not measured: a relaxed Dy3Ga2SiNi9 crystal at the PBE-GGA level of DFT.

a = 6.0168 Å, b = 6.0168 Å, c = 8.0839 Å
α = 90.00°, β = 90.00°, γ = 120.00°
With the nearest neighbours (Å) after each atom.
Fractional coordinates of all 15 atoms:
Dy  0.0000  0.0000  0.0000  12 Ni 2.71-3.01
Dy  0.3333  0.6667  0.6853  9 Ni 3.04-3.08
Dy  0.6667  0.3333  0.3147  9 Ni 3.04-3.08
Ga  0.3333  0.6667  0.1941  6 Ni 2.21-2.34
Ga  0.6667  0.3333  0.8059  6 Ni 2.21-2.34
Si  0.0000  0.0000  0.5000  6 Ni 2.21
Ni  0.0000  0.5000  0.0000  2 Ga 2.34
Ni  0.1336  0.2671  0.2872  1 Si 2.21, 1 Ga 2.21, 2 Ni 2.41
Ni  0.1336  0.8664  0.2872  1 Si 2.21, 1 Ga 2.21, 2 Ni 2.41
Ni  0.2671  0.1336  0.7128  1 Si 2.21, 1 Ga 2.21, 2 Ni 2.41
Ni  0.5000  0.0000  0.0000  2 Ga 2.34
Ni  0.5000  0.5000  0.0000  2 Ga 2.34
Ni  0.7329  0.8664  0.2872  1 Si 2.21, 1 Ga 2.21, 2 Ni 2.41
Ni  0.8664  0.1336  0.7128  1 Si 2.21, 1 Ga 2.21, 2 Ni 2.41
Ni  0.8664  0.7329  0.7128  1 Si 2.21, 1 Ga 2.21, 2 Ni 2.41

Values from the calculation:
Total magnetic moment (Bohr magnetons per cell): 0.000
V (A^3/atom): 16.90
E (eV/atom): -5.349
Symmetry: No. 164
Raw formation energy (eV/atom): -0.19



(5)
Computed, not measured: a relaxed Dy3GaSi2Ni9 crystal at the PBE-GGA level of DFT.

a = 5.8242 Å, b = 5.8242 Å, c = 8.4920 Å
α = 90.00°, β = 90.00°, γ = 120.00°
With the nearest neighbours (Å) after each atom.
Fractional coordinates of all 15 atoms:
Dy  0.0000  0.0000  0.0000  12 Ni 2.75-2.91
Dy  0.3333  0.6667  0.6852  9 Ni 2.94-3.16
Dy  0.6667  0.3333  0.3148  9 Ni 2.94-3.16
Ga  0.0000  0.0000  0.5000  6 Ni 2.35
Si  0.3333  0.6667  0.1768  6 Ni 2.14-2.25
Si  0.6667  0.3333  0.8232  6 Ni 2.14-2.25
Ni  0.0000  0.5000  0.0000  2 Si 2.25
Ni  0.1389  0.2779  0.2781  1 Si 2.14, 1 Ga 2.35
Ni  0.1389  0.8611  0.2781  1 Si 2.14, 1 Ga 2.35
Ni  0.2779  0.1389  0.7219  1 Si 2.14, 1 Ga 2.35
Ni  0.5000  0.0000  0.0000  2 Si 2.25
Ni  0.5000  0.5000  0.0000  2 Si 2.25
Ni  0.7221  0.8611  0.2781  1 Si 2.14, 1 Ga 2.35
Ni  0.8611  0.1389  0.7219  1 Si 2.14, 1 Ga 2.35
Ni  0.8611  0.7221  0.7219  1 Si 2.14, 1 Ga 2.35

Values from the calculation:
Total magnetic moment (Bohr magnetons per cell): 0.000
V (A^3/atom): 16.63
E (eV/atom): -5.623
Symmetry: No. 164
Raw formation energy (eV/atom): -0.31



(6)
Computed, not measured: a relaxed Dy2Ga3SiNi4 crystal at the PBE-GGA level of DFT.

a = 3.9940 Å, b = 3.9940 Å, c = 10.0319 Å
α = 90.00°, β = 90.00°, γ = 90.00°
With the nearest neighbours (Å) after each atom.
Fractional coordinates of all 10 atoms:
Dy  0.0000  0.5000  0.2413  8 Ni 3.04-3.27, 6 Ga 3.09-3.14, 2 Si 3.14
Dy  0.5000  0.0000  0.7587  8 Ni 3.04-3.27, 6 Ga 3.09-3.14, 2 Si 3.14
Ga  0.0000  0.0000  0.0000  4 Ni 2.37
Ga  0.0000  0.5000  0.6338  5 Ni 2.39-2.41
Ga  0.5000  0.0000  0.3662  5 Ni 2.39-2.41
Si  0.5000  0.5000  0.0000  4 Ni 2.37
Ni  0.0000  0.0000  0.5000  4 Ga 2.41
Ni  0.0000  0.5000  0.8721  2 Si 2.37, 3 Ga 2.37-2.39
Ni  0.5000  0.0000  0.1279  2 Si 2.37, 3 Ga 2.37-2.39
Ni  0.5000  0.5000  0.5000  4 Ga 2.41

Values from the calculation:
Total magnetic moment (Bohr magnetons per cell): 0.000
V (A^3/atom): 16.00
E (eV/atom): -5.306
Symmetry: No. 115
Raw formation energy (eV/atom): -0.62



(7)
Computed, not measured: a relaxed DyGa2SiNi4 crystal at the PBE-GGA level of DFT.

a = 8.4956 Å, b = 8.4956 Å, c = 8.4956 Å
α = 27.48°, β = 27.48°, γ = 27.48°
With the nearest neighbours (Å) after each atom.
Fractional coordinates of all 8 atoms:
Dy  0.0000  0.0000  0.0000  6 Ni 2.97, 6 Ga 3.15
Ga  0.2466  0.2466  0.2466  3 Ni 2.35
Ga  0.7534  0.7534  0.7534  3 Ni 2.35
Si  0.5000  0.5000  0.5000  8 Ni 2.24-2.44
Ni  0.1377  0.1377  0.1377  3 Si 2.44, 4 Ga 2.64-2.67
Ni  0.4084  0.4084  0.4084  1 Si 2.24, 3 Ga 2.35
Ni  0.5916  0.5916  0.5916  1 Si 2.24, 3 Ga 2.35
Ni  0.8623  0.8623  0.8623  3 Si 2.44, 4 Ga 2.64-2.67

Values from the calculation:
Total magnetic moment (Bohr magnetons per cell): 0.000
V (A^3/atom): 14.40
E (eV/atom): -5.403
Symmetry: No. 166
Raw formation energy (eV/atom): -0.50



(8)
Computed, not measured: a relaxed Dy2GaSiNi6 crystal at the PBE-GGA level of DFT.

a = 5.9303 Å, b = 5.9502 Å, c = 6.1161 Å
α = 90.90°, β = 118.85°, γ = 118.54°
With the nearest neighbours (Å) after each atom.
Fractional coordinates of all 10 atoms:
Dy  0.0876  0.2109  0.2874  6 Ni 2.83-2.92, 1 Ga 3.03
Dy  0.9124  0.7891  0.7126  6 Ni 2.83-2.92, 1 Ga 3.03
Ga  0.5000  0.0000  0.5000  6 Ni 2.33-2.34
Si  0.5000  0.5000  0.0000  6 Ni 2.28-2.31
Ni  0.0011  0.6358  0.1762  1 Si 2.29, 1 Ga 2.34, 3 Ni 2.44-2.54
Ni  0.3005  0.6662  0.6695  1 Si 2.31, 1 Ga 2.33, 3 Ni 2.44-2.58
Ni  0.4480  0.8285  0.1202  1 Si 2.28, 1 Ga 2.34, 4 Ni 2.47-2.54
Ni  0.5520  0.1715  0.8798  1 Si 2.28, 1 Ga 2.34, 4 Ni 2.47-2.54
Ni  0.6995  0.3338  0.3305  1 Si 2.31, 1 Ga 2.33, 3 Ni 2.44-2.58
Ni  0.9989  0.3642  0.8238  1 Si 2.29, 1 Ga 2.34, 3 Ni 2.44-2.54

Values from the calculation:
Total magnetic moment (Bohr magnetons per cell): 0.000
V (A^3/atom): 15.73
E (eV/atom): -5.609
Symmetry: No. 2
Raw formation energy (eV/atom): -0.37